No. 1
## TcIr2Ru (PBE)

Data for a relaxed structure of TcIr2Ru.

excess energy over the best structure of this formula in the dataset = 668 meV/atom
formation energy from the elements = 0.50 eV per atom

Lattice parameters (Å, degrees): 6.1944 6.1944 6.1944 90.00 90.00 90.00
Fractional coordinates of all 16 atoms:
Tc (0.0000, 0.0000, 0.0000)
Tc (0.0000, 0.5000, 0.5000)
Tc (0.5000, 0.0000, 0.5000)
Tc (0.5000, 0.5000, 0.0000)
Ir (0.2500, 0.2500, 0.2500)
Ir (0.2500, 0.2500, 0.7500)
Ir (0.2500, 0.7500, 0.2500)
Ir (0.2500, 0.7500, 0.7500)
Ir (0.7500, 0.2500, 0.2500)
Ir (0.7500, 0.2500, 0.7500)
Ir (0.7500, 0.7500, 0.2500)
Ir (0.7500, 0.7500, 0.7500)
Ru (0.0000, 0.0000, 0.5000)
Ru (0.0000, 0.5000, 0.0000)
Ru (0.5000, 0.0000, 0.0000)
Ru (0.5000, 0.5000, 0.5000)

No. 2
## TaAlV (PBE)

Data for a relaxed structure of TaAlV.

excess energy over the best structure of this formula in the dataset = 86 meV/atom
formation energy from the elements = -0.12 eV per atom

Lattice parameters (Å, degrees): 3.2894 3.2894 8.8396 90.00 90.00 90.00
Fractional coordinates of all 6 atoms:
Ta (0.0000, 0.0000, 0.0000)
Ta (0.5000, 0.5000, 0.5000)
Al (0.0000, 0.0000, 0.6820)
Al (0.5000, 0.5000, 0.1820)
V (0.0000, 0.0000, 0.3483)
V (0.5000, 0.5000, 0.8483)

No. 3
## Pu4Sb8Pd3 (PBE)

Data for a relaxed structure of Pu4Sb8Pd3.

raw formation energy = -0.57 eV/atom

Lattice parameters (Å, degrees): 4.4168 4.4168 18.9738 90.00 90.00 90.00
Fractional coordinates of all 15 atoms:
Pu (0.0000, 0.5000, 0.1167)
Pu (0.0000, 0.5000, 0.6277)
Pu (0.5000, 0.0000, 0.3723)
Pu (0.5000, 0.0000, 0.8833)
Sb (0.0000, 0.0000, 0.2447)
Sb (0.0000, 0.0000, 0.7553)
Sb (0.0000, 0.5000, 0.4137)
Sb (0.0000, 0.5000, 0.9210)
Sb (0.5000, 0.0000, 0.0790)
Sb (0.5000, 0.0000, 0.5863)
Sb (0.5000, 0.5000, 0.2454)
Sb (0.5000, 0.5000, 0.7546)
Pd (0.0000, 0.0000, 0.0000)
Pd (0.0000, 0.0000, 0.5000)
Pd (0.5000, 0.5000, 0.5000)

No. 4
## AcGe2Au4 (PBE)

Data for a relaxed structure of AcGe2Au4.

excess energy over the best structure of this formula in the dataset = 0 meV/atom
formation energy from the elements = -0.44 eV per atom

Lattice parameters (Å, degrees): 4.6540 13.8567 4.6318 90.00 90.00 90.00
Fractional coordinates of all 14 atoms:
Ac (0.0000, 0.0000, 0.0000)
Ac (0.5000, 0.5000, 0.0000)
Ge (0.0000, 0.4068, 0.5000)
Ge (0.0000, 0.5932, 0.5000)
Ge (0.5000, 0.0932, 0.5000)
Ge (0.5000, 0.9068, 0.5000)
Au (0.0000, 0.1781, 0.5000)
Au (0.0000, 0.3178, 0.0000)
Au (0.0000, 0.6822, 0.0000)
Au (0.0000, 0.8219, 0.5000)
Au (0.5000, 0.1822, 0.0000)
Au (0.5000, 0.3219, 0.5000)
Au (0.5000, 0.6781, 0.5000)
Au (0.5000, 0.8178, 0.0000)